(1)
The following is a DFT calculation (PBE-GGA) of LaPmGa2Rh2 after structural relaxation.

It has space group P-3m1 (No. 164), with a = 4.3959 Å, b = 4.3959 Å, c = 7.7728 Å, α = 90.00°, β = 90.00° and γ = 120.00°. The asymmetric unit holds La at (0.0000, 0.0000, 0.0000), Pm at (0.0000, 0.0000, 0.5000), Ga at (0.3333, 0.6667, 0.2619) and Rh at (0.3333, 0.6667, 0.7405).

The value obtained for the density of states at the Fermi level is 5.092 states/eV/cell. The electronic total energy comes out at -5.86 eV/atom. Its magnetic moment is 0.0 μB per formula unit.



(2)
The following is a DFT calculation (PBE-GGA) of CsTmPb2Cl8 after structural relaxation.

It has space group P-1 (No. 2), with a = 6.6171 Å, b = 6.8729 Å, c = 9.2803 Å, α = 85.86°, β = 85.54° and γ = 87.76°. The asymmetric unit holds Cs at (0.0000, 0.0000, 0.0000), Tm at (0.0000, 0.0000, 0.5000), Pb at (0.4878, 0.4942, 0.2511), Cl at (0.2278, 0.8361, 0.6949), Cl at (0.2336, 0.3079, 0.4857), Cl at (0.2420, 0.8493, 0.2973) and Cl at (0.2690, 0.3984, 0.0314).

The value obtained for the density of states at the Fermi level is 0.000 states/eV/cell. The electronic total energy comes out at -3.95 eV/atom. Its magnetic moment is 0.0 μB per formula unit. As for the uncorrected formation energy: -1.65 eV per atom.



(3)
The following is a DFT calculation (PBE-GGA) of MgZrI6 after structural relaxation.

It has space group C2/m (No. 12), with a = 7.9995 Å, b = 13.6743 Å, c = 7.0296 Å, α = 90.00°, β = 91.34° and γ = 90.00°. The asymmetric unit holds Mg at (0.0000, 0.0000, 0.0000), Zr at (0.0000, 0.0000, 0.5000), I at (0.1452, 0.1470, 0.2593) and I at (0.2097, 0.5000, 0.2479).

The electronic total energy comes out at -3.37 eV/atom. Its magnetic moment is 0.0 μB per formula unit. As for the uncorrected formation energy: -0.94 eV per atom.



(4)
The following is a DFT calculation (PBE-GGA) of AcDy2HoEr after structural relaxation.

It has space group P2_1/m (No. 11), with a = 6.3402 Å, b = 5.7894 Å, c = 9.7177 Å, α = 90.00°, β = 108.78° and γ = 90.00°. The asymmetric unit holds Ac at (0.0693, 0.2500, 0.2999), Dy at (0.2761, 0.2500, 0.7056), Dy at (0.4630, 0.2500, 0.0945), Ho at (0.3374, 0.7500, 0.4993) and Er at (0.1357, 0.7500, 0.0968).

The value obtained for the density of states at the Fermi level is 17.566 states/eV/cell. The electronic total energy comes out at -4.45 eV/atom. Its magnetic moment is 0.0 μB per formula unit.



Number 3 is which compound?
MgZrI6